A plane-wave DFT calculation with PBE-GGA was carried out for crystalline Hf2GaAu6 at its relaxed geometry.

Cell and atoms, written as POSCAR:
```
Hf2GaAu6
1.0
-3.101 -3.575 -0.244
3.766 -3.485 3.202
-3.315 5.475 4.145
Au Hf Ga
6 2 1
Direct
0.929 0.594 0.688
0.500 0.249 0.000
0.929 0.094 0.688
0.500 0.751 0.000
0.071 0.906 0.312
0.071 0.406 0.312
0.425 0.318 0.636
0.575 0.682 0.364
0.000 0.000 0.000
```

Summary:
As for the density of states at the Fermi level: 0.380 states/eV per atom. As for the space group: C2/m (12). The calculation puts the formation enthalpy at 0 K at -0.2106 eV per atom.


A plane-wave DFT calculation with PBE-GGA was carried out for crystalline NdEuHoAl at its relaxed geometry.

Cell and atoms, written as POSCAR:
```
NdEuHoAl
1.0
5.461 0.000 0.000
2.731 4.730 0.000
2.731 1.577 4.459
Nd Eu Al Ho
1 1 1 1
Direct
0.750 0.750 0.750
0.500 0.500 0.500
0.000 0.000 0.000
0.250 0.250 0.250
```

Summary:
As for the density of states at the Fermi level: 1.227 states/eV per atom. As for the space group: F-43m (216). The calculation puts the formation enthalpy at 0 K at -0.0338 eV per atom.


A plane-wave DFT calculation with PBE-GGA was carried out for crystalline BeIN2O at its relaxed geometry.

Cell and atoms, written as POSCAR:
```
BeIN2O
1.0
-1.349 -2.894 0.814
2.950 -1.103 0.969
-1.354 2.633 7.118
O N Be I
1 2 1 1
Direct
0.500 0.500 0.500
0.000 0.500 0.000
0.500 0.000 0.000
0.000 0.000 0.000
0.000 0.000 0.500
```

Summary:
As for the density of states at the Fermi level: 0.601 states/eV per atom. As for the space group: P4/mmm (123). As for the raw formation energy: 1.14 eV/atom.


A plane-wave DFT calculation with PBE-GGA was carried out for crystalline NaCoSe2Br at its relaxed geometry.

Cell and atoms, written as POSCAR:
```
NaCoSe2Br
1.0
5.124 0.000 0.000
0.000 5.124 0.000
0.000 0.000 5.315
Co Br Se Na
1 1 2 1
Direct
0.500 0.500 0.500
0.000 0.000 0.500
0.000 0.500 0.000
0.500 0.000 0.000
0.000 0.000 0.000
```

Summary:
As for the density of states at the Fermi level: 1.480 states/eV per atom. As for the space group: P4/mmm (123). As for the raw formation energy: 0.90 eV/atom.


A plane-wave DFT calculation with PBE-GGA was carried out for crystalline MnTlTe2 at its relaxed geometry.

Cell and atoms, written as POSCAR:
```
MnTlTe2
1.0
-1.698 6.733 1.185
-4.018 4.883 3.104
2.270 2.353 5.011
Tl Te Mn
1 2 1
Direct
0.250 0.250 0.250
0.409 0.409 0.590
0.091 0.091 0.910
0.750 0.750 0.750
```

Summary:
As for the density of states at the Fermi level: 0.288 states/eV per atom. As for the space group: Immm (71). As for the raw formation energy: -0.06 eV/atom.


A plane-wave DFT calculation with PBE-GGA was carried out for crystalline Rb3Mn3NbSe8 at its relaxed geometry.

Cell and atoms, written as POSCAR:
```
Rb3Mn3NbSe8
1.0
7.735 0.000 -0.001
-3.867 6.650 -0.031
-0.001 -4.413 8.051
Se Mn Rb Nb
8 3 3 1
Direct
0.274 0.050 0.323
0.726 0.950 0.677
0.776 0.050 0.323
0.774 0.549 0.322
0.226 0.451 0.678
0.277 0.555 0.331
0.723 0.445 0.669
0.224 0.950 0.677
0.000 0.500 0.500
0.500 0.500 0.500
0.500 0.000 0.500
0.000 0.500 0.000
0.000 0.000 0.000
0.500 0.500 0.000
0.000 0.000 0.500
```

Summary:
As for the density of states at the Fermi level: 0.408 states/eV per atom. As for the space group: C2/m (12). As for the raw formation energy: -0.73 eV/atom.


A plane-wave DFT calculation with PBE-GGA was carried out for crystalline CaTh2C at its relaxed geometry.

Cell and atoms, written as POSCAR:
```
CaTh2C
1.0
3.681 0.000 0.003
1.840 3.188 0.003
1.849 1.068 9.785
C Th Ca
1 2 1
Direct
0.667 0.667 0.000
0.050 0.050 0.853
0.283 0.283 0.150
0.501 0.501 0.498
```

Summary:
As for the density of states at the Fermi level: 1.369 states/eV per atom. As for the space group: Cm (8). The calculation puts the formation enthalpy at 0 K at -0.1052 eV per atom.


A plane-wave DFT calculation with PBE-GGA was carried out for crystalline P2HOsC at its relaxed geometry.

Cell and atoms, written as POSCAR:
```
P2HOsC
1.0
4.352 0.000 0.000
0.000 2.762 0.000
0.000 0.000 4.352
P Os H C
2 1 1 1
Direct
0.500 0.000 0.000
0.000 0.000 0.500
0.500 0.500 0.500
0.000 0.000 0.000
0.000 0.500 0.000
```

Summary:
As for the density of states at the Fermi level: 0.634 states/eV per atom. As for the space group: P4/mmm (123). Its total energy is -5.564 eV per atom.


A plane-wave DFT calculation with PBE-GGA was carried out for crystalline La2As3Pd6 at its relaxed geometry.

Cell and atoms, written as POSCAR:
```
La2As3Pd6
1.0
-3.816 -0.307 -2.135
3.704 -1.499 -6.405
-2.096 -5.642 4.557
Pd As La
6 3 2
Direct
0.500 0.699 0.699
0.000 0.000 0.791
0.000 0.209 0.209
0.500 0.301 0.000
0.000 0.791 0.000
0.500 0.000 0.301
0.500 0.000 0.632
0.500 0.368 0.368
0.500 0.632 0.000
0.000 0.333 0.667
0.000 0.667 0.333
```

Summary:
As for the density of states at the Fermi level: 0.484 states/eV per atom. As for the space group: P-62m (189). The calculation puts the formation enthalpy at 0 K at -0.8469 eV per atom.


A plane-wave DFT calculation with PBE-GGA was carried out for crystalline Pm2VSi3 at its relaxed geometry.

Cell and atoms, written as POSCAR:
```
Pm2VSi3
1.0
-3.326 1.502 -3.351
-4.243 -6.038 1.507
-1.669 5.941 4.319
Si Pm V
6 4 2
Direct
0.000 0.837 0.163
0.250 0.623 0.623
0.500 0.837 0.163
0.000 0.163 0.837
0.750 0.377 0.377
0.500 0.163 0.837
0.250 0.180 0.471
0.250 0.471 0.180
0.750 0.529 0.820
0.750 0.820 0.529
0.250 0.915 0.915
0.750 0.085 0.085
```

Summary:
As for the density of states at the Fermi level: 0.451 states/eV per atom. As for the space group: Cmcm (63). As for the raw formation energy: -0.47 eV/atom.


A plane-wave DFT calculation with PBE-GGA was carried out for crystalline K2RbAlTl at its relaxed geometry.

Cell and atoms, written as POSCAR:
```
K2RbAlTl
1.0
6.919 0.000 0.000
0.000 6.919 0.000
0.000 0.000 5.319
Al Tl K Rb
1 1 2 1
Direct
0.000 0.000 0.000
0.000 0.000 0.500
0.500 0.000 0.000
0.000 0.500 0.000
0.500 0.500 0.500
```

Summary:
As for the density of states at the Fermi level: 0.699 states/eV per atom. As for the space group: P4/mmm (123). The calculation puts the formation enthalpy at 0 K at 0.1748 eV per atom.


A plane-wave DFT calculation with PBE-GGA was carried out for crystalline LaAg2 at its relaxed geometry.

Cell and atoms, written as POSCAR:
```
LaAg2
1.0
-1.032 -0.074 5.971
-5.387 -2.443 -1.318
5.683 -1.994 -0.674
Ag La
4 2
Direct
0.204 0.166 0.038
0.627 0.166 0.462
0.373 0.834 0.538
0.796 0.834 0.962
0.781 0.531 0.250
0.219 0.469 0.750
```

Summary:
As for the density of states at the Fermi level: 0.788 states/eV per atom. As for the space group: Imma (74). The calculation puts the formation enthalpy at 0 K at -0.2940 eV per atom.


A plane-wave DFT calculation with PBE-GGA was carried out for crystalline PrSiGe at its relaxed geometry.

Cell and atoms, written as POSCAR:
```
PrSiGe
1.0
3.920 0.000 1.267
1.571 5.586 1.836
0.219 -0.888 6.017
Ge Si Pr
2 2 2
Direct
0.000 0.326 0.674
0.000 0.674 0.326
0.500 0.848 0.152
0.500 0.152 0.848
0.248 0.752 0.752
0.752 0.248 0.248
```

Summary:
As for the density of states at the Fermi level: 0.465 states/eV per atom. As for the space group: Immm (71). As for the raw formation energy: -0.58 eV/atom.


A plane-wave DFT calculation with PBE-GGA was carried out for crystalline ZrReBr2 at its relaxed geometry.

Cell and atoms, written as POSCAR:
```
ZrReBr2
1.0
6.034 0.000 0.000
0.000 6.034 0.000
3.017 3.017 5.458
Br Zr Re
4 2 2
Direct
0.875 0.905 0.750
0.375 0.345 0.750
0.655 0.125 0.250
0.095 0.625 0.250
0.250 0.750 0.500
0.500 0.500 0.000
0.000 0.000 0.000
0.750 0.250 0.500
```

Summary:
As for the density of states at the Fermi level: 1.022 states/eV per atom. As for the space group: I-42d (122). As for the raw formation energy: 1.06 eV/atom.


A plane-wave DFT calculation with PBE-GGA was carried out for crystalline AgSnBi at its relaxed geometry.

Cell and atoms, written as POSCAR:
```
AgSnBi
1.0
-1.322 3.556 1.532
1.323 -1.396 4.381
3.089 2.353 -2.796
Bi Sn Ag
1 1 1
Direct
0.278 0.333 0.667
0.748 0.667 0.333
0.974 0.000 0.000
```

Summary:
As for the density of states at the Fermi level: 0.484 states/eV per atom. As for the space group: P3m1 (156). The calculation puts the formation enthalpy at 0 K at 0.1433 eV per atom.


A plane-wave DFT calculation with PBE-GGA was carried out for crystalline CsMnIn3 at its relaxed geometry.

Cell and atoms, written as POSCAR:
```
CsMnIn3
1.0
5.270 0.000 0.000
0.000 5.270 0.000
0.000 0.000 5.270
In Mn Cs
3 1 1
Direct
0.000 0.500 0.000
0.000 0.000 0.500
0.500 0.000 0.000
0.000 0.000 0.000
0.500 0.500 0.500
```

Summary:
As for the density of states at the Fermi level: 0.281 states/eV per atom. As for the space group: Pm-3m (221). The calculation puts the formation enthalpy at 0 K at 0.1137 eV per atom.


A plane-wave DFT calculation with PBE-GGA was carried out for crystalline PmY2Tm7 at its relaxed geometry.

Cell and atoms, written as POSCAR:
```
PmY2Tm7
1.0
5.151 0.000 0.000
0.000 9.593 -0.869
0.000 -5.103 8.170
Tm Pm Y
7 1 2
Direct
0.500 0.500 0.500
0.000 0.805 0.195
0.500 0.929 0.713
0.500 0.287 0.071
0.000 0.195 0.805
0.500 0.071 0.287
0.500 0.713 0.929
0.000 0.000 0.000
0.500 0.298 0.702
0.500 0.702 0.298
```

Summary:
As for the density of states at the Fermi level: 1.517 states/eV per atom. As for the space group: Cmmm (65). The calculation puts the formation enthalpy at 0 K at 0.7223 eV per atom.


A plane-wave DFT calculation with PBE-GGA was carried out for crystalline Sr2H12Rh3Pb at its relaxed geometry.

Cell and atoms, written as POSCAR:
```
Sr2H12Rh3Pb
1.0
6.439 -0.013 -0.009
3.168 5.605 -0.009
3.168 1.844 5.293
H Rh Sr Pb
12 3 2 1
Direct
0.868 0.448 0.868
0.448 0.868 0.868
0.132 0.552 0.132
0.552 0.132 0.132
0.132 0.132 0.552
0.299 0.299 0.874
0.126 0.701 0.701
0.874 0.299 0.299
0.701 0.701 0.126
0.701 0.126 0.701
0.299 0.874 0.299
0.868 0.868 0.448
0.500 0.000 0.000
0.000 0.000 0.500
0.000 0.500 0.000
0.390 0.390 0.390
0.610 0.610 0.610
0.000 0.000 0.000
```

Summary:
As for the density of states at the Fermi level: 0.190 states/eV per atom. As for the space group: R-3m (166). Its total energy is -4.086 eV per atom.


A plane-wave DFT calculation with PBE-GGA was carried out for crystalline La2Dy8Th at its relaxed geometry.

Cell and atoms, written as POSCAR:
```
La2Dy8Th
1.0
-3.640 2.768 2.220
0.457 -4.632 6.525
7.815 5.354 0.316
La Th Dy
2 1 8
Direct
0.772 0.365 0.544
0.228 0.635 0.456
0.500 0.000 0.000
0.133 0.173 0.266
0.043 0.732 0.086
0.679 0.906 0.358
0.321 0.094 0.642
0.588 0.450 0.177
0.412 0.550 0.823
0.867 0.827 0.734
0.957 0.268 0.914
```

Summary:
As for the density of states at the Fermi level: 1.596 states/eV per atom. As for the space group: C2/m (12). The calculation puts the formation enthalpy at 0 K at 0.0340 eV per atom.


A plane-wave DFT calculation with PBE-GGA was carried out for crystalline DyNbN3 at its relaxed geometry.

Cell and atoms, written as POSCAR:
```
DyNbN3
1.0
-2.786 2.075 -1.381
-3.390 -1.798 4.134
4.000 6.904 2.307
Nb N Dy
2 6 2
Direct
0.750 0.848 0.331
0.250 0.152 0.669
0.750 0.925 0.116
0.250 0.017 0.385
0.750 0.983 0.615
0.750 0.491 0.256
0.250 0.509 0.744
0.250 0.075 0.884
0.250 0.221 0.178
0.750 0.779 0.822
```

Summary:
As for the density of states at the Fermi level: 0.512 states/eV per atom. As for the space group: P2_1/m (11). As for the raw formation energy: -0.89 eV/atom.


A plane-wave DFT calculation with PBE-GGA was carried out for crystalline TaTc2F2 at its relaxed geometry.

Cell and atoms, written as POSCAR:
```
TaTc2F2
1.0
-1.946 -1.976 -1.752
0.957 -2.556 1.820
-5.111 -1.199 3.958
F Tc Ta
2 2 1
Direct
0.250 0.750 0.500
0.750 0.250 0.500
0.383 0.383 0.233
0.617 0.617 0.767
0.000 0.000 0.000
```

Summary:
As for the density of states at the Fermi level: 0.729 states/eV per atom. As for the space group: I4/mmm (139). As for the raw formation energy: -0.67 eV/atom.


A plane-wave DFT calculation with PBE-GGA was carried out for crystalline LaPr5Th at its relaxed geometry.

Cell and atoms, written as POSCAR:
```
LaPr5Th
1.0
-0.708 5.751 0.419
-5.505 -0.548 -1.773
-2.356 -0.843 7.576
Th Pr La
1 5 1
Direct
0.000 0.000 0.500
0.000 0.500 0.284
0.500 0.000 0.716
0.500 0.500 0.000
0.000 0.500 0.716
0.500 0.000 0.284
0.000 0.000 0.000
```

Summary:
As for the density of states at the Fermi level: 1.440 states/eV per atom. As for the space group: P4/mmm (123). The calculation puts the formation enthalpy at 0 K at 0.2980 eV per atom.